Compound: Er4AlGa12
Source: the Alexandria database
Functional: PBE
Structure: relaxed

abc: 8.683 8.683 8.683
angles: 90.00 90.00 90.00
Space group Im-3m (No. 229)
Symmetry-distinct sites (fractional):
Er 0.250 0.250 0.250 x8
Al 0.000 0.000 0.000 x2
Ga 0.000 0.000 0.304 x12
Ga 0.000 0.250 0.500 x12

Properties
- V: 19.256 Å³/atom
- Crystal system: cubic
- Energy of formation: -7.81 eV per formula unit

***

Compound: Er2Al15Ga2
Source: the Alexandria database
Functional: PBE
Structure: relaxed

abc: 9.8437 9.8437 13.2149
angles: 90.00 90.00 120.00
Space group R-3m (No. 166, hexagonal axes)
Symmetry-distinct sites (fractional):
Er 0.0000 0.0000 0.1249 x6
Al 0.0000 0.2820 0.0000 x18
Al 0.0000 0.5000 0.5000 x9
Al 0.0133 0.5067 0.1389 x18
Ga 0.0000 0.0000 0.3750 x6

Properties
- V: 19.455 Å³/atom
- Crystal system: trigonal
- Energy of formation: -0.23 eV per formula unit

***

Compound: Er3AlGa
Source: the Alexandria database
Functional: PBE
Structure: relaxed

abc: 6.281 10.064 8.136
angles: 90.00 90.00 90.00
Space group Cmme (No. 67)
Symmetry-distinct sites (fractional):
Er 0.000 0.068 0.198 x8
Er 0.000 0.250 0.659 x4
Al 0.250 0.000 0.500 x4
Ga 0.250 0.250 0.000 x4

Properties
- V: 25.716 Å³/atom
- Crystal system: orthorhombic
- Energy of formation: -1.61 eV per formula unit

***

Compound: ErAl4Ga2
Source: the Alexandria database
Functional: PBE
Structure: relaxed

abc: 5.602 5.602 9.786
angles: 90.00 90.00 90.00
Space group I4/mmm (No. 139)
Symmetry-distinct sites (fractional):
Er 0.000 0.000 0.000 x2
Al 0.000 0.500 0.000 x4
Al 0.000 0.500 0.250 x4
Ga 0.000 0.000 0.358 x4

Properties
- V: 21.939 Å³/atom
- Crystal system: tetragonal
- Energy of formation: 1.65 eV per formula unit

***

Compound: Er2Al2Ga
Source: the Alexandria database
Functional: PBE
Structure: relaxed

abc: 3.401 4.393 14.170
angles: 90.00 90.00 90.00
Space group Amm2 (No. 38)
Symmetry-distinct sites (fractional):
Er 0.000 0.000 0.000 x2
Er 0.000 0.000 0.233 x2
Al 0.500 0.000 0.618 x2
Al 0.500 0.000 0.817 x2
Ga 0.500 0.000 0.418 x2

Properties
- V: 21.168 Å³/atom
- Crystal system: orthorhombic
- ΔE to the lowest computed polymorph: 4 meV per atom
- Energy of formation: -2.47 eV per formula unit

***

Compound: ErAl2Ga
Source: the Alexandria database
Functional: PBE
Structure: relaxed

abc: 4.208 4.208 4.291
angles: 90.00 90.00 90.00
Space group P4/mmm (No. 123)
Symmetry-distinct sites (fractional):
Er 0.000 0.000 0.000 x1
Al 0.000 0.500 0.500 x2
Ga 0.500 0.500 0.000 x1

Properties
- V: 18.995 Å³/atom
- Crystal system: tetragonal
- Energy of formation: -1.79 eV per formula unit

***

Compound: ErAlGa2
Source: the Alexandria database
Functional: PBE
Structure: relaxed

abc: 5.516 9.208 3.137
angles: 90.00 90.00 90.00
Space group Cmmm (No. 65)
Symmetry-distinct sites (fractional):
Er 0.000 0.000 0.000 x2
Al 0.000 0.500 0.500 x2
Ga 0.250 0.250 0.500 x4

Properties
- V: 19.914 Å³/atom
- Crystal system: orthorhombic
- Energy of formation: -1.41 eV per formula unit

***

Compound: ErAlGa6
Source: the Alexandria database
Functional: PBE
Structure: relaxed

abc: 8.898 6.875 6.294
angles: 90.00 121.12 90.00
Space group C2/m (No. 12)
Symmetry-distinct sites (fractional):
Er 0.000 0.000 0.000 x2
Al 0.000 0.000 0.500 x2
Ga 0.136 0.308 0.781 x8
Ga 0.174 0.500 0.402 x4

Properties
- V: 20.599 Å³/atom
- Crystal system: monoclinic
- ΔE to the lowest computed polymorph: 96 meV per atom
- Energy of formation: -0.96 eV per formula unit

***

Compound: ErAl3Ga
Source: the Alexandria database
Functional: PBE
Structure: relaxed

abc: 5.324 5.324 17.499
angles: 90.00 90.00 90.00
Space group I-4m2 (No. 119)
Symmetry-distinct sites (fractional):
Er 0.000 0.000 0.201 x4
Al 0.000 0.247 0.627 x8
Al 0.000 0.500 0.109 x4
Ga 0.000 0.000 0.500 x2
Ga 0.000 0.500 0.750 x2

Properties
- V: 24.800 Å³/atom
- Crystal system: tetragonal
- Energy of formation: 0.63 eV per formula unit

***

Compound: ErAl2Ga
Source: the Alexandria database
Functional: PBE
Structure: relaxed

abc: 4.3264 4.3264 15.2440
angles: 90.00 90.00 120.00
Space group R-3m (No. 166, hexagonal axes)
Symmetry-distinct sites (fractional):
Er 0.0000 0.0000 0.0000 x3
Al 0.0000 0.0000 0.2156 x6
Ga 0.0000 0.0000 0.5000 x3

Properties
- V: 20.592 Å³/atom
- Crystal system: trigonal
- Energy of formation: -0.90 eV per formula unit

***

Compound: Er3Al3Ga2
Source: the Alexandria database
Functional: PBE
Structure: relaxed

abc: 4.317 10.639 14.783
angles: 90.00 90.00 90.00
Space group Cmcm (No. 63)
Symmetry-distinct sites (fractional):
Er 0.000 0.079 0.111 x8
Er 0.000 0.355 0.250 x4
Al 0.000 0.363 0.750 x4
Al 0.000 0.383 0.039 x8
Ga 0.000 0.212 0.608 x8

Properties
- V: 21.218 Å³/atom
- Crystal system: orthorhombic
- Energy of formation: -4.19 eV per formula unit

***

Compound: Er2AlGa2
Source: the Alexandria database
Functional: PBE
Structure: relaxed

abc: 4.083 5.901 8.931
angles: 90.00 90.00 90.00
Space group Immm (No. 71)
Symmetry-distinct sites (fractional):
Er 0.000 0.000 0.212 x4
Al 0.000 0.500 0.000 x2
Ga 0.000 0.279 0.500 x4

Properties
- V: 21.518 Å³/atom
- Crystal system: orthorhombic
- ΔE to the lowest computed polymorph: 40 meV per atom
- Energy of formation: -2.78 eV per formula unit

***

Q: What is the formula in the sixth record?
A: ErAl2Ga

***

Q: What is the energy of formation in the ninth record?
A: 0.63 eV per formula unit